AcCoSb after structural relaxation, computed with PBE.

CIF file:
```
data_AcCoSb
_cell_length_a 4.4471
_cell_length_b 4.4471
_cell_length_c 4.5411
_cell_angle_alpha 90.00
_cell_angle_beta 90.00
_cell_angle_gamma 120.00
_symmetry_space_group_name_H-M 'P -6 m 2'
_symmetry_Int_Tables_number 187
_symmetry_space_group_name_Hall 'P -6 2'
loop_
_atom_site_label
_atom_site_type_symbol
_atom_site_fract_x
_atom_site_fract_y
_atom_site_fract_z
Ac1 Ac 0.0000 0.0000 0.0000
Co1 Co 0.6667 0.3333 0.5000
Sb1 Sb 0.3333 0.6667 0.5000
```

## Properties
* formation energy from raw total energies: -0.549 eV/atom
* mass density: 8704 kg/m3

***

AcCoSb after structural relaxation, computed with PBE.

CIF file:
```
data_AcCoSb
_cell_length_a 3.477
_cell_length_b 3.477
_cell_length_c 11.829
_cell_angle_alpha 90.00
_cell_angle_beta 90.00
_cell_angle_gamma 90.00
_symmetry_space_group_name_H-M 'I 4 m m'
_symmetry_Int_Tables_number 107
_symmetry_space_group_name_Hall 'I 4 -2'
loop_
_atom_site_label
_atom_site_type_symbol
_atom_site_fract_x
_atom_site_fract_y
_atom_site_fract_z
Ac1 Ac 0.000 0.000 0.000
Co1 Co 0.000 0.000 0.683
Sb1 Sb 0.000 0.000 0.280
```

## Properties
* formation energy from raw total energies: -0.108 eV/atom
* mass density: 9469 kg/m3

***

Ac3CoSb after structural relaxation, computed with PBE.

CIF file:
```
data_Ac3CoSb
_cell_length_a 5.517
_cell_length_b 5.517
_cell_length_c 5.517
_cell_angle_alpha 90.00
_cell_angle_beta 90.00
_cell_angle_gamma 90.00
_symmetry_space_group_name_H-M 'P m -3 m'
_symmetry_Int_Tables_number 221
_symmetry_space_group_name_Hall '-P 4 2 3'
loop_
_atom_site_label
_atom_site_type_symbol
_atom_site_fract_x
_atom_site_fract_y
_atom_site_fract_z
Ac1 Ac 0.000 0.000 0.500
Co1 Co 0.000 0.000 0.000
Sb1 Sb 0.500 0.500 0.500
```

## Properties
* formation energy from raw total energies: -0.406 eV/atom
* mass density: 8522 kg/m3

***

AcSc3Co after structural relaxation, computed with PBE.

CIF file:
```
data_AcSc3Co
_cell_length_a 5.039
_cell_length_b 5.039
_cell_length_c 5.039
_cell_angle_alpha 90.00
_cell_angle_beta 90.00
_cell_angle_gamma 90.00
_symmetry_space_group_name_H-M 'P m -3 m'
_symmetry_Int_Tables_number 221
_symmetry_space_group_name_Hall '-P 4 2 3'
loop_
_atom_site_label
_atom_site_type_symbol
_atom_site_fract_x
_atom_site_fract_y
_atom_site_fract_z
Ac1 Ac 0.000 0.000 0.000
Sc1 Sc 0.000 0.500 0.500
Co1 Co 0.500 0.500 0.500
```

## Properties
* ΔE_f: -102 meV/atom
* mass density: 5463 kg/m3

***

Ac4CoSe3 after structural relaxation, computed with PBE.

CIF file:
```
data_Ac4CoSe3
_cell_length_a 7.916
_cell_length_b 8.977
_cell_length_c 7.531
_cell_angle_alpha 90.00
_cell_angle_beta 109.31
_cell_angle_gamma 90.00
_symmetry_space_group_name_H-M 'P 1 2/c 1'
_symmetry_Int_Tables_number 13
loop_
_symmetry_equiv_pos_as_xyz
'x,y,z'
'-x,-y,-z'
'-x,y,-z+1/2'
'x,-y,z+1/2'
loop_
_atom_site_label
_atom_site_type_symbol
_atom_site_fract_x
_atom_site_fract_y
_atom_site_fract_z
Ac1 Ac 0.222 0.113 0.006
Ac2 Ac 0.238 0.355 0.483
Co1 Co 0.000 0.124 0.250
Se1 Se 0.000 0.382 0.750
Se2 Se 0.500 0.126 0.750
Se3 Se 0.500 0.384 0.250
```

## Properties
* formation energy from raw total energies: -1.367 eV/atom
* mass density: 7915 kg/m3

***

Ac12Co5Se after structural relaxation, computed with PBE.

CIF file:
```
data_Ac12Co5Se
_cell_length_a 7.414
_cell_length_b 12.834
_cell_length_c 13.771
_cell_angle_alpha 90.00
_cell_angle_beta 100.39
_cell_angle_gamma 90.00
_symmetry_space_group_name_H-M 'C 1 2/m 1'
_symmetry_Int_Tables_number 12
loop_
_symmetry_equiv_pos_as_xyz
'x,y,z'
'-x,-y,-z'
'-x,y,-z'
'x,-y,z'
'x+1/2,y+1/2,z'
'-x+1/2,-y+1/2,-z'
'-x+1/2,y+1/2,-z'
'x+1/2,-y+1/2,z'
loop_
_atom_site_label
_atom_site_type_symbol
_atom_site_fract_x
_atom_site_fract_y
_atom_site_fract_z
Ac1 Ac 0.102 0.000 0.378
Ac2 Ac 0.137 0.321 0.378
Ac3 Ac 0.200 0.500 0.113
Ac4 Ac 0.207 0.164 0.112
Co1 Co 0.000 0.000 0.000
Co2 Co 0.000 0.167 0.500
Co3 Co 0.000 0.333 0.000
Se1 Se 0.000 0.500 0.500
```

## Properties
* formation energy from raw total energies: -0.204 eV/atom
* mass density: 7983 kg/m3

***

Ac8Co3Se after structural relaxation, computed with PBE.

CIF file:
```
data_Ac8Co3Se
_cell_length_a 8.7005
_cell_length_b 8.7005
_cell_length_c 20.2700
_cell_angle_alpha 90.00
_cell_angle_beta 90.00
_cell_angle_gamma 120.00
_symmetry_space_group_name_H-M 'R -3 m'
_symmetry_Int_Tables_number 166
_symmetry_space_group_name_Hall '-R 3 2"'
loop_
_atom_site_label
_atom_site_type_symbol
_atom_site_fract_x
_atom_site_fract_y
_atom_site_fract_z
Ac1 Ac 0.0000 0.0000 0.2425
Ac2 Ac 0.0246 0.5123 0.7538
Co1 Co 0.0000 0.5000 0.5000
Se1 Se 0.0000 0.0000 0.5000
```

## Properties
* formation energy from raw total energies: -0.278 eV/atom
* mass density: 7765 kg/m3

***

Ac3CoSe2 after structural relaxation, computed with PBE.

CIF file:
```
data_Ac3CoSe2
_cell_length_a 4.454
_cell_length_b 4.454
_cell_length_c 18.476
_cell_angle_alpha 90.00
_cell_angle_beta 90.00
_cell_angle_gamma 90.00
_symmetry_space_group_name_H-M 'I 4/m m m'
_symmetry_Int_Tables_number 139
_symmetry_space_group_name_Hall '-I 4 2'
loop_
_atom_site_label
_atom_site_type_symbol
_atom_site_fract_x
_atom_site_fract_y
_atom_site_fract_z
Ac1 Ac 0.000 0.000 0.000
Ac2 Ac 0.000 0.000 0.349
Co1 Co 0.000 0.000 0.500
Se1 Se 0.000 0.000 0.174
```

## Properties
* formation energy from raw total energies: -1.170 eV/atom
* mass density: 8134 kg/m3

***

AcCoSe2 after structural relaxation, computed with PBE.

CIF file:
```
data_AcCoSe2
_cell_length_a 4.3199
_cell_length_b 4.3199
_cell_length_c 17.7704
_cell_angle_alpha 90.00
_cell_angle_beta 90.00
_cell_angle_gamma 120.00
_symmetry_space_group_name_H-M 'R -3 m'
_symmetry_Int_Tables_number 166
_symmetry_space_group_name_Hall '-R 3 2"'
loop_
_atom_site_label
_atom_site_type_symbol
_atom_site_fract_x
_atom_site_fract_y
_atom_site_fract_z
Ac1 Ac 0.0000 0.0000 0.0000
Co1 Co 0.0000 0.0000 0.5000
Se1 Se 0.0000 0.0000 0.2317
```

## Properties
* formation energy from raw total energies: -0.939 eV/atom
* mass density: 7699 kg/m3

***

Ac2CoSe after structural relaxation, computed with PBE.

CIF file:
```
data_Ac2CoSe
_cell_length_a 4.2485
_cell_length_b 4.2485
_cell_length_c 22.8454
_cell_angle_alpha 90.00
_cell_angle_beta 90.00
_cell_angle_gamma 120.00
_symmetry_space_group_name_H-M 'R -3 m'
_symmetry_Int_Tables_number 166
_symmetry_space_group_name_Hall '-R 3 2"'
loop_
_atom_site_label
_atom_site_type_symbol
_atom_site_fract_x
_atom_site_fract_y
_atom_site_fract_z
Ac1 Ac 0.0000 0.0000 0.2405
Co1 Co 0.0000 0.0000 0.5000
Se1 Se 0.0000 0.0000 0.0000
```

## Properties
* formation energy from raw total energies: -0.815 eV/atom
* mass density: 8257 kg/m3